This record from the Alexandria database describes a relaxed ZrBeAu2 crystal. The functional is PBEsol.

Lattice parameters (Å, degrees): 3.7132 4.2416 4.2414 90.00 90.00 90.00
Element x y z (fractional)
Be: 0.5000 0.5000 0.0000
Au: 0.0000 0.0000 0.0000
Au: 0.0000 0.5000 0.5000
Zr: 0.5000 0.0000 0.5000

SG: No. 123
Formation enthalpy at 0 K in eV per atom: -0.1307
DFT total energy in eV/atom: -5.37